Record 1
{"formula": "Ac3MgPb2", "functional": "PBE", "state": "relaxed", "cell": [[-0.145, -4.877, 1.205], [0.937, -3.122, -12.523], [13.376, -0.142, 1.036]], "species": ["Ac", "Ac", "Ac", "Ac", "Ac", "Ac", "Ac", "Ac", "Ac", "Ac", "Ac", "Ac", "Mg", "Mg", "Mg", "Mg", "Pb", "Pb", "Pb", "Pb", "Pb", "Pb", "Pb", "Pb"], "fractional_positions": [[0.250, 0.367, 0.042], [0.750, 0.633, 0.958], [0.750, 0.867, 0.458], [0.250, 0.133, 0.542], [0.250, 0.694, 0.210], [0.750, 0.306, 0.790], [0.750, 0.194, 0.290], [0.250, 0.806, 0.710], [0.250, 0.422, 0.357], [0.750, 0.578, 0.643], [0.750, 0.922, 0.143], [0.250, 0.078, 0.857], [0.250, 0.114, 0.130], [0.750, 0.886, 0.870], [0.750, 0.614, 0.370], [0.250, 0.386, 0.630], [0.250, 0.668, 0.486], [0.750, 0.332, 0.514], [0.750, 0.168, 0.014], [0.250, 0.832, 0.986], [0.250, 0.985, 0.319], [0.750, 0.015, 0.681], [0.750, 0.485, 0.181], [0.250, 0.515, 0.819]], "volume_a3_per_cell": 873, "crystal_system": "orthorhombic", "delta_e_f_mev_per_atom": -410.1}

***

Record 2
{"formula": "SrCaZnP2", "functional": "PBE", "state": "relaxed", "cell": [[4.995, 0.000, 0.000], [0.000, 7.136, 0.176], [0.000, -1.963, 7.605]], "species": ["Sr", "Sr", "Ca", "Ca", "Zn", "Zn", "P", "P", "P", "P"], "fractional_positions": [[0.202, 0.500, 0.750], [0.798, 0.500, 0.250], [0.475, 0.000, 0.250], [0.525, 0.000, 0.750], [0.000, 0.000, 0.000], [0.000, 0.000, 0.500], [0.734, 0.743, 0.962], [0.734, 0.257, 0.538], [0.266, 0.743, 0.462], [0.266, 0.257, 0.038]], "volume_a3_per_cell": 273, "crystal_system": "monoclinic", "delta_e_f_mev_per_atom": -814.1}

***

Record 3
{"formula": "Nd2Al4Cu3Au", "functional": "PBE", "state": "relaxed", "cell": [[-0.939, 3.960, -1.320], [-1.755, 0.853, 3.808], [9.096, 3.308, 3.450]], "species": ["Nd", "Nd", "Al", "Al", "Al", "Al", "Cu", "Cu", "Cu", "Au"], "fractional_positions": [[0.500, 0.000, 0.249], [0.000, 0.500, 0.751], [0.500, 0.500, 0.000], [0.000, 0.000, 0.000], [0.500, 0.000, 0.637], [0.000, 0.500, 0.363], [0.000, 0.000, 0.500], [0.500, 0.000, 0.873], [0.000, 0.500, 0.127], [0.500, 0.500, 0.500]], "volume_a3_per_cell": 188, "crystal_system": "tetragonal", "delta_e_f_mev_per_atom": -488.7}

***

Record 4
{"formula": "TbNd2PuSb4", "functional": "PBE", "state": "relaxed", "cell": [[-1.726, -3.287, -2.504], [-2.297, -3.674, 6.407], [-5.605, 4.764, -2.389]], "species": ["Tb", "Nd", "Nd", "Pu", "Sb", "Sb", "Sb", "Sb"], "fractional_positions": [[0.500, 0.500, 0.000], [0.500, 0.000, 0.500], [0.000, 0.500, 0.500], [0.000, 0.000, 0.000], [0.500, 0.247, 0.242], [0.500, 0.753, 0.758], [0.000, 0.253, 0.758], [0.000, 0.747, 0.242]], "volume_a3_per_cell": 253, "crystal_system": "monoclinic", "formation_energy_uncorrected_mev_per_atom": -1022}

***

Record 5
{"formula": "CeY6Er10", "functional": "PBE", "state": "relaxed", "cell": [[6.783, 0.000, 0.000], [0.000, 8.317, -4.802], [0.000, 0.000, 9.604]], "species": ["Ce", "Y", "Y", "Y", "Y", "Y", "Y", "Er", "Er", "Er", "Er", "Er", "Er", "Er", "Er", "Er", "Er"], "fractional_positions": [[0.500, 0.000, 0.000], [0.697, 0.377, 0.377], [0.697, 0.000, 0.623], [0.697, 0.623, 0.000], [0.303, 0.623, 0.623], [0.303, 0.000, 0.377], [0.303, 0.377, 0.000], [0.819, 0.726, 0.726], [0.819, 0.000, 0.274], [0.819, 0.274, 0.000], [0.181, 0.274, 0.274], [0.181, 0.000, 0.726], [0.181, 0.726, 0.000], [0.500, 0.333, 0.667], [0.500, 0.667, 0.333], [0.000, 0.667, 0.333], [0.000, 0.333, 0.667]], "volume_a3_per_cell": 542, "crystal_system": "trigonal", "delta_e_f_mev_per_atom": 156.0}

***

Record 6
{"formula": "Pm12Ge3Sb5", "functional": "PBE", "state": "relaxed", "cell": [[-13.882, -1.864, -6.732], [11.208, -2.337, -10.508], [1.552, -10.233, 11.592]], "species": ["Ge", "Ge", "Ge", "Ge", "Ge", "Ge", "Ge", "Ge", "Ge", "Ge", "Ge", "Ge", "Sb", "Sb", "Sb", "Sb", "Sb", "Sb", "Sb", "Sb", "Sb", "Sb", "Sb", "Sb", "Sb", "Sb", "Sb", "Sb", "Sb", "Sb", "Sb", "Sb", "Pm", "Pm", "Pm", "Pm", "Pm", "Pm", "Pm", "Pm", "Pm", "Pm", "Pm", "Pm", "Pm", "Pm", "Pm", "Pm", "Pm", "Pm", "Pm", "Pm", "Pm", "Pm", "Pm", "Pm", "Pm", "Pm", "Pm", "Pm", "Pm", "Pm", "Pm", "Pm", "Pm", "Pm", "Pm", "Pm", "Pm", "Pm", "Pm", "Pm", "Pm", "Pm", "Pm", "Pm", "Pm", "Pm", "Pm", "Pm"], "fractional_positions": [[0.750, 0.375, 0.125], [0.875, 0.750, 0.125], [0.375, 0.750, 0.625], [0.250, 0.125, 0.375], [0.875, 0.125, 0.250], [0.375, 0.625, 0.250], [0.625, 0.375, 0.750], [0.125, 0.875, 0.750], [0.750, 0.875, 0.625], [0.625, 0.250, 0.375], [0.125, 0.250, 0.875], [0.250, 0.625, 0.875], [0.125, 0.375, 0.250], [0.000, 0.500, 0.000], [0.000, 0.000, 0.000], [0.375, 0.250, 0.125], [0.500, 0.000, 0.500], [0.500, 0.500, 0.000], [0.125, 0.750, 0.375], [0.750, 0.125, 0.875], [0.750, 0.625, 0.375], [0.375, 0.125, 0.750], [0.625, 0.875, 0.250], [0.500, 0.500, 0.500], [0.500, 0.000, 0.000], [0.000, 0.000, 0.500], [0.250, 0.375, 0.625], [0.250, 0.875, 0.125], [0.000, 0.500, 0.500], [0.875, 0.250, 0.625], [0.625, 0.750, 0.875], [0.875, 0.625, 0.750], [0.728, 0.141, 0.061], [0.333, 0.561, 0.420], [0.939, 0.359, 0.272], [0.561, 0.228, 0.141], [0.587, 0.728, 0.667], [0.939, 0.580, 0.167], [0.333, 0.772, 0.413], [0.080, 0.913, 0.141], [0.580, 0.939, 0.667], [0.728, 0.587, 0.167], [0.772, 0.439, 0.359], [0.833, 0.920, 0.061], [0.141, 0.728, 0.561], [0.359, 0.420, 0.087], [0.087, 0.920, 0.359], [0.413, 0.141, 0.580], [0.087, 0.167, 0.228], [0.439, 0.667, 0.080], [0.833, 0.913, 0.272], [0.141, 0.413, 0.080], [0.359, 0.939, 0.772], [0.580, 0.641, 0.413], [0.920, 0.833, 0.561], [0.772, 0.333, 0.913], [0.420, 0.359, 0.587], [0.080, 0.167, 0.439], [0.228, 0.667, 0.087], [0.167, 0.087, 0.728], [0.641, 0.061, 0.228], [0.859, 0.587, 0.920], [0.561, 0.333, 0.920], [0.587, 0.859, 0.420], [0.913, 0.833, 0.772], [0.913, 0.080, 0.641], [0.859, 0.272, 0.439], [0.167, 0.080, 0.939], [0.641, 0.580, 0.913], [0.420, 0.061, 0.333], [0.272, 0.413, 0.833], [0.228, 0.561, 0.641], [0.920, 0.087, 0.859], [0.667, 0.228, 0.587], [0.439, 0.772, 0.859], [0.061, 0.420, 0.833], [0.413, 0.272, 0.333], [0.061, 0.641, 0.728], [0.667, 0.439, 0.580], [0.272, 0.859, 0.939]], "volume_a3_per_cell": 2889, "crystal_system": "cubic", "formation_energy_uncorrected_mev_per_atom": -432}

***

Record 7
{"formula": "TbYAlAu", "functional": "PBE", "state": "relaxed", "cell": [[3.568, 0.000, 0.000], [0.000, 3.568, 0.000], [0.000, 0.000, 7.483]], "species": ["Tb", "Y", "Al", "Au"], "fractional_positions": [[0.000, 0.000, 0.851], [0.000, 0.000, 0.363], [0.500, 0.500, 0.108], [0.500, 0.500, 0.606]], "volume_a3_per_cell": 95, "crystal_system": "tetragonal", "delta_e_f_mev_per_atom": -621.1}

***

Record 8
{"formula": "Ca2C", "functional": "PBE", "state": "relaxed", "cell": [[4.720, 0.001, 0.000], [1.647, 4.423, 0.000], [-3.183, -2.212, 2.692]], "species": ["Ca", "Ca", "C"], "fractional_positions": [[0.336, 0.336, 0.000], [0.664, 0.664, 0.000], [0.000, 0.000, 0.000]], "volume_a3_per_cell": 56, "crystal_system": "tetragonal", "delta_e_f_mev_per_atom": 972.7}

***

Record 9
{"formula": "LiSm2PuO6", "functional": "PBE", "state": "relaxed", "cell": [[-1.988, -5.466, 0.367], [2.509, -3.773, 3.665], [-2.966, -1.699, 4.915]], "species": ["Li", "Sm", "Sm", "Pu", "O", "O", "O", "O", "O", "O"], "fractional_positions": [[0.807, 0.807, 0.578], [0.534, 0.534, 0.397], [0.028, 0.028, 0.915], [0.317, 0.317, 0.050], [0.596, 0.198, 0.254], [0.198, 0.953, 0.254], [0.953, 0.596, 0.254], [0.431, 0.680, 0.771], [0.680, 0.119, 0.771], [0.119, 0.431, 0.771]], "volume_a3_per_cell": 146, "crystal_system": "trigonal", "formation_energy_uncorrected_mev_per_atom": -2937}

***

Record 10
{"formula": "Ho6Tl2Ir", "functional": "PBE", "state": "relaxed", "cell": [[5.042, 0.000, -0.193], [0.000, 7.229, 0.000], [-2.236, -3.615, 7.539]], "species": ["Ho", "Ho", "Ho", "Ho", "Ho", "Ho", "Tl", "Tl", "Ir"], "fractional_positions": [[0.155, 0.392, 0.309], [0.845, 0.083, 0.691], [0.845, 0.608, 0.691], [0.500, 0.224, 0.000], [0.155, 0.917, 0.309], [0.500, 0.776, 0.000], [0.667, 0.667, 0.334], [0.333, 0.333, 0.666], [0.000, 0.000, 0.000]], "volume_a3_per_cell": 272, "crystal_system": "orthorhombic", "delta_e_f_mev_per_atom": -276.5}

***

Record 11
{"formula": "TlPdI2Br", "functional": "PBE", "state": "relaxed", "cell": [[5.585, 0.000, 0.000], [0.000, 5.585, 0.000], [0.000, 0.000, 5.249]], "species": ["I", "I", "Tl", "Br", "Pd"], "fractional_positions": [[0.000, 0.500, 0.000], [0.500, 0.000, 0.000], [0.500, 0.500, 0.500], [0.000, 0.000, 0.500], [0.000, 0.000, 0.000]], "volume_a3_per_cell": 164, "crystal_system": "tetragonal", "formation_energy_uncorrected_mev_per_atom": -377}

***

Record 12
{"formula": "Ho6Sb3C", "functional": "PBE", "state": "relaxed", "cell": [[-6.577, -0.407, -2.596], [2.069, -7.991, -3.987], [-3.010, -3.050, 8.103]], "species": ["Ho", "Ho", "Ho", "Ho", "Ho", "Ho", "Ho", "Ho", "Ho", "Ho", "Ho", "Ho", "Sb", "Sb", "Sb", "Sb", "Sb", "Sb", "C", "C"], "fractional_positions": [[0.195, 0.693, 0.623], [0.695, 0.623, 0.693], [0.162, 0.407, 0.895], [0.662, 0.895, 0.407], [0.173, 0.043, 0.957], [0.711, 0.225, 0.775], [0.211, 0.775, 0.225], [0.673, 0.957, 0.043], [0.162, 0.105, 0.593], [0.662, 0.593, 0.105], [0.195, 0.377, 0.307], [0.695, 0.307, 0.377], [0.486, 0.925, 0.723], [0.986, 0.723, 0.925], [0.393, 0.389, 0.611], [0.893, 0.611, 0.389], [0.986, 0.075, 0.277], [0.486, 0.277, 0.075], [0.022, 0.185, 0.815], [0.522, 0.815, 0.185]], "volume_a3_per_cell": 587, "crystal_system": "orthorhombic", "formation_energy_uncorrected_mev_per_atom": -585}

***

Record 13
{"formula": "NaMgIn2", "functional": "PBE", "state": "relaxed", "cell": [[5.925, -1.901, -3.310], [-1.890, 5.929, 3.310], [-4.260, 0.233, 5.610]], "species": ["Na", "Mg", "In", "In"], "fractional_positions": [[0.000, 0.000, 0.000], [0.000, 0.500, 0.500], [0.000, 0.263, 0.263], [0.000, 0.737, 0.737]], "volume_a3_per_cell": 117, "crystal_system": "orthorhombic", "delta_e_f_mev_per_atom": 129.3}

***

Record 14
{"formula": "Pu3Ag", "functional": "PBE", "state": "relaxed", "cell": [[-4.554, 0.816, 0.513], [-0.947, -3.329, -3.113], [-0.156, -2.739, 2.976]], "species": ["Ag", "Pu", "Pu", "Pu"], "fractional_positions": [[0.500, 0.000, 0.631], [0.000, 0.000, 0.132], [0.000, 0.500, 0.439], [0.500, 0.500, 0.132]], "volume_a3_per_cell": 88, "crystal_system": "tetragonal", "delta_e_f_mev_per_atom": 239.6}